1.
Here is crystalline Zr3CdIn at its relaxed geometry from Alexandria via LeMat-Bulk. Energies are from PBE.

Energy relative to the elements   0.12 eV/atom
Size of the total moment   0.00 μB/cell
Symmetry   Cmcm, No. 63
Excess energy over the best structure of this formula in the dataset   0.168 eV/atom

Unit cell a=8.315 b=8.315 c=5.479 alpha=90.00 beta=90.00 gamma=140.14
Sites, in units of the cell vectors:
1 Zr 0.000 0.000 0.000
2 Zr 0.000 0.000 0.500
3 Zr 0.090 0.402 0.250
4 Zr 0.402 0.090 0.750
5 Zr 0.598 0.910 0.250
6 Zr 0.910 0.598 0.750
7 Cd 0.448 0.552 0.750
8 Cd 0.552 0.448 0.250
9 In 0.173 0.827 0.250
10 In 0.827 0.173 0.750

2.
Here is crystalline ZrCd2In at its relaxed geometry from Alexandria via LeMat-Bulk. Energies are from PBE.

Energy relative to the elements   0.17 eV/atom
Size of the total moment   0.00 μB/cell
Symmetry   I-42d, No. 122

Unit cell a=6.430 b=6.430 c=6.430 alpha=102.66 beta=102.66 gamma=124.18
Sites, in units of the cell vectors:
1 Zr 0.000 0.000 0.000
2 Zr 0.750 0.250 0.500
3 Cd 0.136 0.125 0.511
4 Cd 0.375 0.864 0.989
5 Cd 0.614 0.625 0.489
6 Cd 0.875 0.386 0.011
7 In 0.250 0.750 0.500
8 In 0.500 0.500 0.000

3.
Here is crystalline ZrCd2In at its relaxed geometry from Alexandria via LeMat-Bulk. Energies are from PBE.

Energy relative to the elements   -0.22 eV/atom
Size of the total moment   0.00 μB/cell
Symmetry   P4/mmm, No. 123

Unit cell a=4.374 b=4.374 c=4.529 alpha=90.00 beta=90.00 gamma=90.00
Sites, in units of the cell vectors:
1 Zr 0.000 0.000 0.000
2 Cd 0.000 0.500 0.500
3 Cd 0.500 0.000 0.500
4 In 0.500 0.500 0.000

4.
Here is crystalline Zr2CdIn at its relaxed geometry from Alexandria via LeMat-Bulk. Energies are from PBE.

Energy relative to the elements   -0.04 eV/atom
Size of the total moment   0.00 μB/cell
Symmetry   R3m, No. 160

Unit cell a=10.273 b=10.273 c=10.273 alpha=18.44 beta=18.44 gamma=18.44
Sites, in units of the cell vectors:
1 Zr 0.000 0.000 0.000
2 Zr 0.254 0.254 0.254
3 Cd 0.751 0.751 0.751
4 In 0.501 0.501 0.501